(1)
VASP calculation (PBE-GGA) on an optimized crystal structure of ZrInOsRu2.

Cell: 4.790 4.790 4.895 Å, 90.00 90.00 90.00°
Space group P4/mmm (No. 123)
Symmetry-distinct sites (fractional):
Zr 0.000 0.000 0.000
In 0.500 0.500 0.500
Os 0.000 0.000 0.500
Ru 0.000 0.500 0.000

Values from the calculation:
* raw total energy: -6.565 eV/atom
* total magnetization: 2.96 μB/f.u.
* crystal system: tetragonal



(2)
VASP calculation (PBE-GGA) on an optimized crystal structure of Cu2SiRh.

Cell: 3.748 3.748 7.135 Å, 90.00 90.00 90.00°
Space group I-4m2 (No. 119)
Symmetry-distinct sites (fractional):
Cu 0.000 0.000 0.000
Cu 0.000 0.500 0.250
Si 0.000 0.000 0.500
Rh 0.000 0.500 0.750

Values from the calculation:
* raw total energy: -5.507 eV/atom
* energy relative to the elements, uncorrected: -25.6 kJ per mole of atoms
* total magnetization: 0.00 μB/f.u.
* crystal system: tetragonal



The highest total magnetization belongs to which entry?
ZrInOsRu2



Among the records above, which one has the highest raw total energy?
Cu2SiRh



What did the second record say?
VASP calculation (PBE-GGA) on an optimized crystal structure of Cu2SiRh.

Cell: 3.748 3.748 7.135 Å, 90.00 90.00 90.00°
Space group I-4m2 (No. 119)
Symmetry-distinct sites (fractional):
Cu 0.000 0.000 0.000
Cu 0.000 0.500 0.250
Si 0.000 0.000 0.500
Rh 0.000 0.500 0.750

Values from the calculation:
* raw total energy: -5.507 eV/atom
* energy relative to the elements, uncorrected: -25.6 kJ per mole of atoms
* total magnetization: 0.00 μB/f.u.
* crystal system: tetragonal